Ca3Pu4Rh4 | PBE | relaxed

The space group is Immm (No. 71) and the conventional cell measures 3.247, 10.352 and 13.565 Å, with angles of 90.00, 90.00 and 90.00 degrees. Symmetry generates all atoms from Ca at (0.000, 0.000, 0.000), Ca at (0.000, 0.500, 0.113), Pu at (0.000, 0.279, 0.308), Rh at (0.000, 0.000, 0.207) and Rh at (0.000, 0.226, 0.500).

For the spin magnetization, the calculation gives 0.000 μB/atom. The total energy comes out at -187.65 eV/cell. For the formation energy from the elements, the calculation gives -0.099 eV/atom.